*one*
The following is a PBE calculation of a relaxed Pd3CI crystal, from Alexandria via LeMat-Bulk.

Theoretical density: 6.05 Mg/m³
Crystal system: cubic

Lattice parameters (Å, degrees): 5.0095 5.0095 5.0095 90.00 90.00 90.00
Fractional positions:
Pd1 0.0000 0.0000 0.5000
Pd2 0.0000 0.5000 0.0000
Pd3 0.5000 0.0000 0.0000
C1 0.5000 0.5000 0.5000
I1 0.0000 0.0000 0.0000

***

*two*
The following is a PBE calculation of a relaxed Pd3CI crystal, from Alexandria via LeMat-Bulk.

Theoretical density: 9.40 Mg/m³
Crystal system: cubic

Lattice parameters (Å, degrees): 4.3256 4.3256 4.3256 90.00 90.00 90.00
Fractional positions:
Pd1 0.0000 0.0000 0.5000
Pd2 0.0000 0.5000 0.0000
Pd3 0.5000 0.0000 0.0000
C1 0.0000 0.0000 0.0000
I1 0.5000 0.5000 0.5000

***

Which is most stable, and by how much? *two*, by 143.4 kJ/mol of atoms.

***

*one*
The following is a PBE calculation of a relaxed PdCI2 crystal, from Alexandria via LeMat-Bulk.

Theoretical density: 7.39 Mg/m³
Crystal system: cubic

Lattice parameters (Å, degrees): 6.9435 6.9435 6.9435 90.00 90.00 90.00
Fractional positions:
Pd1 0.0000 0.0000 0.0000
Pd2 0.0000 0.5000 0.5000
Pd3 0.5000 0.0000 0.5000
Pd4 0.5000 0.5000 0.0000
C1 0.0000 0.0000 0.5000
C2 0.0000 0.5000 0.0000
C3 0.5000 0.0000 0.0000
C4 0.5000 0.5000 0.5000
I1 0.2500 0.2500 0.2500
I2 0.2500 0.2500 0.7500
I3 0.2500 0.7500 0.2500
I4 0.2500 0.7500 0.7500
I5 0.7500 0.2500 0.2500
I6 0.7500 0.2500 0.7500
I7 0.7500 0.7500 0.2500
I8 0.7500 0.7500 0.7500

***

*two*
The following is a PBE calculation of a relaxed PdCI2 crystal, from Alexandria via LeMat-Bulk.

Theoretical density: 5.88 Mg/m³
Crystal system: tetragonal

Lattice parameters (Å, degrees): 5.8217 5.8217 12.3966 90.00 90.00 90.00
Fractional positions:
Pd1 0.0000 0.0000 0.0000
Pd2 0.0000 0.5000 0.2500
Pd3 0.5000 0.0000 0.7500
Pd4 0.5000 0.5000 0.5000
C1 0.0000 0.0000 0.5000
C2 0.0000 0.5000 0.7500
C3 0.5000 0.0000 0.2500
C4 0.5000 0.5000 0.0000
I1 0.2118 0.2500 0.6250
I2 0.2500 0.7118 0.8750
I3 0.2500 0.7882 0.3750
I4 0.2882 0.2500 0.1250
I5 0.7118 0.7500 0.1250
I6 0.7500 0.2118 0.3750
I7 0.7500 0.2882 0.8750
I8 0.7882 0.7500 0.6250

***

Which is most stable, and by how much? *two*, by 47.6 kJ/mol of atoms.

***

*one*
The following is a PBE calculation of a relaxed Pd2CI2 crystal, from Alexandria via LeMat-Bulk.

Theoretical density: 4.49 Mg/m³
Crystal system: tetragonal

Lattice parameters (Å, degrees): 5.6346 5.6346 11.1429 90.00 90.00 90.00
Fractional positions:
Pd1 0.0000 0.0000 0.1592
Pd2 0.0000 0.0000 0.8408
Pd3 0.5000 0.5000 0.3408
Pd4 0.5000 0.5000 0.6592
C1 0.0000 0.0000 0.0000
C2 0.5000 0.5000 0.5000
I1 0.0000 0.5000 0.2500
I2 0.0000 0.5000 0.7500
I3 0.5000 0.0000 0.2500
I4 0.5000 0.0000 0.7500

***

*two*
The following is a PBE calculation of a relaxed Pd2CI2 crystal, from Alexandria via LeMat-Bulk.

Theoretical density: 7.53 Mg/m³
Crystal system: tetragonal

Lattice parameters (Å, degrees): 6.0153 6.0153 5.8326 90.00 90.00 90.00
Fractional positions:
Pd1 0.2288 0.2712 0.0000
Pd2 0.2712 0.7712 0.0000
Pd3 0.7288 0.2288 0.0000
Pd4 0.7712 0.7288 0.0000
C1 0.0000 0.0000 0.0000
C2 0.5000 0.5000 0.0000
I1 0.1933 0.3067 0.5000
I2 0.3067 0.8067 0.5000
I3 0.6933 0.1933 0.5000
I4 0.8067 0.6933 0.5000

***

Which is most stable, and by how much? *one*, by 22.0 kJ/mol of atoms.

***

*one*
The following is a PBE calculation of a relaxed PdC3I crystal, from Alexandria via LeMat-Bulk.

Theoretical density: 6.16 Mg/m³
Crystal system: cubic

Lattice parameters (Å, degrees): 4.1721 4.1721 4.1721 90.00 90.00 90.00
Fractional positions:
Pd1 0.0000 0.0000 0.0000
C1 0.0000 0.0000 0.5000
C2 0.0000 0.5000 0.0000
C3 0.5000 0.0000 0.0000
I1 0.5000 0.5000 0.5000

***

*two*
The following is a PBE calculation of a relaxed PdC3I crystal, from Alexandria via LeMat-Bulk.

Theoretical density: 6.36 Mg/m³
Crystal system: cubic

Lattice parameters (Å, degrees): 4.1286 4.1286 4.1286 90.00 90.00 90.00
Fractional positions:
Pd1 0.0000 0.0000 0.0000
C1 0.0000 0.5000 0.5000
C2 0.5000 0.0000 0.5000
C3 0.5000 0.5000 0.0000
I1 0.5000 0.5000 0.5000

***

Which is most stable, and by how much? *one*, by 67.2 kJ/mol of atoms.

***

*one*
The following is a PBE calculation of a relaxed PdC2I crystal, from Alexandria via LeMat-Bulk.

Theoretical density: 7.92 Mg/m³
Crystal system: cubic

Lattice parameters (Å, degrees): 5.9977 5.9977 5.9977 90.00 90.00 90.00
Fractional positions:
Pd1 0.0000 0.0000 0.0000
Pd2 0.0000 0.5000 0.5000
Pd3 0.5000 0.0000 0.5000
Pd4 0.5000 0.5000 0.0000
C1 0.2500 0.2500 0.2500
C2 0.2500 0.2500 0.7500
C3 0.2500 0.7500 0.2500
C4 0.2500 0.7500 0.7500
C5 0.7500 0.2500 0.2500
C6 0.7500 0.2500 0.7500
C7 0.7500 0.7500 0.2500
C8 0.7500 0.7500 0.7500
I1 0.0000 0.0000 0.5000
I2 0.0000 0.5000 0.0000
I3 0.5000 0.0000 0.0000
I4 0.5000 0.5000 0.5000

***

*two*
The following is a PBE calculation of a relaxed PdC2I crystal, from Alexandria via LeMat-Bulk.

Theoretical density: 6.16 Mg/m³
Crystal system: tetragonal

Lattice parameters (Å, degrees): 5.6040 5.6040 8.8316 90.00 90.00 90.00
Fractional positions:
Pd1 0.0000 0.0000 0.0000
Pd2 0.0000 0.5000 0.2500
Pd3 0.5000 0.0000 0.7500
Pd4 0.5000 0.5000 0.5000
C1 0.1698 0.2500 0.1250
C2 0.2500 0.6698 0.3750
C3 0.2500 0.8302 0.8750
C4 0.3302 0.2500 0.6250
C5 0.6698 0.7500 0.6250
C6 0.7500 0.1698 0.8750
C7 0.7500 0.3302 0.3750
C8 0.8302 0.7500 0.1250
I1 0.0000 0.0000 0.5000
I2 0.0000 0.5000 0.7500
I3 0.5000 0.0000 0.2500
I4 0.5000 0.5000 0.0000

***

Which is most stable, and by how much? *two*, by 67.6 kJ/mol of atoms.

***

*one*
The following is a PBE calculation of a relaxed PmCI crystal, from Alexandria via LeMat-Bulk.

Theoretical density: 5.45 Mg/m³
Crystal system: triclinic

Lattice parameters (Å, degrees): 4.0385 4.2654 11.4099 87.52 89.90 61.75
Fractional positions:
Pm1 0.1426 0.2135 0.1256
Pm2 0.8574 0.7865 0.8744
C1 0.4238 0.6521 0.0268
C2 0.5762 0.3479 0.9732
I1 0.1824 0.1384 0.6862
I2 0.8176 0.8616 0.3138

***

*two*
The following is a PBE calculation of a relaxed PmCI crystal, from Alexandria via LeMat-Bulk.

Theoretical density: 5.50 Mg/m³
Crystal system: monoclinic

Lattice parameters (Å, degrees): 7.1184 4.0757 12.1796 90.00 103.82 90.00
Fractional positions:
Pm1 0.1683 0.0000 0.3653
Pm2 0.3317 0.5000 0.6347
Pm3 0.6683 0.5000 0.3653
Pm4 0.8317 0.0000 0.6347
C1 0.0379 0.5000 0.4549
C2 0.4621 0.0000 0.5451
C3 0.5379 0.0000 0.4549
C4 0.9621 0.5000 0.5451
I1 0.2443 0.0000 0.8185
I2 0.2557 0.5000 0.1815
I3 0.7443 0.5000 0.8185
I4 0.7557 0.0000 0.1815

***

Which is most stable, and by how much? *one*, by 8.3 kJ/mol of atoms.

***

*one*
The following is a PBE calculation of a relaxed PtCI2 crystal, from Alexandria via LeMat-Bulk.

Theoretical density: 7.41 Mg/m³
Crystal system: tetragonal

Lattice parameters (Å, degrees): 5.7114 5.7114 12.6625 90.00 90.00 90.00
Fractional positions:
Pt1 0.0000 0.0000 0.0000
Pt2 0.0000 0.5000 0.2500
Pt3 0.5000 0.0000 0.7500
Pt4 0.5000 0.5000 0.5000
C1 0.0000 0.0000 0.5000
C2 0.0000 0.5000 0.7500
C3 0.5000 0.0000 0.2500
C4 0.5000 0.5000 0.0000
I1 0.2189 0.2500 0.6250
I2 0.2500 0.7189 0.8750
I3 0.2500 0.7811 0.3750
I4 0.2811 0.2500 0.1250
I5 0.7189 0.7500 0.1250
I6 0.7500 0.2189 0.3750
I7 0.7500 0.2811 0.8750
I8 0.7811 0.7500 0.6250

***

*two*
The following is a PBE calculation of a relaxed PtCI2 crystal, from Alexandria via LeMat-Bulk.

Theoretical density: 9.32 Mg/m³
Crystal system: cubic

Lattice parameters (Å, degrees): 6.8996 6.8996 6.8996 90.00 90.00 90.00
Fractional positions:
Pt1 0.0000 0.0000 0.0000
Pt2 0.0000 0.5000 0.5000
Pt3 0.5000 0.0000 0.5000
Pt4 0.5000 0.5000 0.0000
C1 0.0000 0.0000 0.5000
C2 0.0000 0.5000 0.0000
C3 0.5000 0.0000 0.0000
C4 0.5000 0.5000 0.5000
I1 0.2500 0.2500 0.2500
I2 0.2500 0.2500 0.7500
I3 0.2500 0.7500 0.2500
I4 0.2500 0.7500 0.7500
I5 0.7500 0.2500 0.2500
I6 0.7500 0.2500 0.7500
I7 0.7500 0.7500 0.2500
I8 0.7500 0.7500 0.7500

***

Which is most stable, and by how much? *one*, by 48.9 kJ/mol of atoms.

***

*one*
The following is a PBE calculation of a relaxed Pt3CI crystal, from Alexandria via LeMat-Bulk.

Theoretical density: 14.66 Mg/m³
Crystal system: cubic

Lattice parameters (Å, degrees): 4.3448 4.3448 4.3448 90.00 90.00 90.00
Fractional positions:
Pt1 0.0000 0.0000 0.5000
Pt2 0.0000 0.5000 0.0000
Pt3 0.5000 0.0000 0.0000
C1 0.0000 0.0000 0.0000
I1 0.5000 0.5000 0.5000

***

*two*
The following is a PBE calculation of a relaxed Pt3CI crystal, from Alexandria via LeMat-Bulk.

Theoretical density: 9.69 Mg/m³
Crystal system: cubic

Lattice parameters (Å, degrees): 4.9882 4.9882 4.9882 90.00 90.00 90.00
Fractional positions:
Pt1 0.0000 0.0000 0.5000
Pt2 0.0000 0.5000 0.0000
Pt3 0.5000 0.0000 0.0000
C1 0.5000 0.5000 0.5000
I1 0.0000 0.0000 0.0000

***

Which is most stable, and by how much? *one*, by 166.4 kJ/mol of atoms.

***

*one*
The following is a PBE calculation of a relaxed PtC3I crystal, from Alexandria via LeMat-Bulk.

Theoretical density: 8.32 Mg/m³
Crystal system: cubic

Lattice parameters (Å, degrees): 4.1494 4.1494 4.1494 90.00 90.00 90.00
Fractional positions:
Pt1 0.0000 0.0000 0.0000
C1 0.0000 0.0000 0.5000
C2 0.0000 0.5000 0.0000
C3 0.5000 0.0000 0.0000
I1 0.5000 0.5000 0.5000

***

*two*
The following is a PBE calculation of a relaxed PtC3I crystal, from Alexandria via LeMat-Bulk.

Theoretical density: 8.70 Mg/m³
Crystal system: cubic

Lattice parameters (Å, degrees): 4.0886 4.0886 4.0886 90.00 90.00 90.00
Fractional positions:
Pt1 0.0000 0.0000 0.0000
C1 0.0000 0.5000 0.5000
C2 0.5000 0.0000 0.5000
C3 0.5000 0.5000 0.0000
I1 0.5000 0.5000 0.5000

***

Which is most stable, and by how much? *one*, by 97.3 kJ/mol of atoms.

***

*one*
The following is a PBE calculation of a relaxed Sb2PtCI crystal, from Alexandria via LeMat-Bulk.

Theoretical density: 6.25 Mg/m³
Crystal system: tetragonal

Lattice parameters (Å, degrees): 5.2386 5.2386 5.5928 90.00 90.00 90.00
Fractional positions:
Sb1 0.0000 0.5000 0.0000
Sb2 0.5000 0.0000 0.0000
Pt1 0.0000 0.0000 0.0000
C1 0.5000 0.5000 0.5000
I1 0.0000 0.0000 0.5000

***

*two*
The following is a PBE calculation of a relaxed Sb2PtCI crystal, from Alexandria via LeMat-Bulk.

Theoretical density: 9.01 Mg/m³
Crystal system: tetragonal

Lattice parameters (Å, degrees): 4.6954 4.6954 4.8300 90.00 90.00 90.00
Fractional positions:
Sb1 0.0000 0.5000 0.0000
Sb2 0.5000 0.0000 0.0000
Pt1 0.0000 0.0000 0.5000
C1 0.5000 0.5000 0.0000
I1 0.5000 0.5000 0.5000

***

Which is most stable, and by how much? *two*, by 46.1 kJ/mol of atoms.

***

*one*
The following is a PBE calculation of a relaxed Te2PtCI crystal, from Alexandria via LeMat-Bulk.

Theoretical density: 9.02 Mg/m³
Crystal system: tetragonal

Lattice parameters (Å, degrees): 4.7291 4.7291 4.8481 90.00 90.00 90.00
Fractional positions:
Te1 0.0000 0.5000 0.0000
Te2 0.5000 0.0000 0.0000
Pt1 0.0000 0.0000 0.5000
C1 0.5000 0.5000 0.0000
I1 0.5000 0.5000 0.5000

***

*two*
The following is a PBE calculation of a relaxed Te2PtCI crystal, from Alexandria via LeMat-Bulk.

Theoretical density: 6.26 Mg/m³
Crystal system: tetragonal

Lattice parameters (Å, degrees): 5.3187 5.3187 5.5283 90.00 90.00 90.00
Fractional positions:
Te1 0.0000 0.5000 0.0000
Te2 0.5000 0.0000 0.0000
Pt1 0.0000 0.0000 0.0000
C1 0.5000 0.5000 0.5000
I1 0.0000 0.0000 0.5000

***

Which is most stable, and by how much? *one*, by 29.8 kJ/mol of atoms.

***

*one*
The following is a PBE calculation of a relaxed TlPtC2I crystal, from Alexandria via LeMat-Bulk.

Theoretical density: 7.28 Mg/m³
Crystal system: tetragonal

Lattice parameters (Å, degrees): 4.1089 4.1089 7.4399 90.00 90.00 90.00
Fractional positions:
Tl1 0.0000 0.0000 0.0000
Pt1 0.5000 0.5000 0.0000
C1 0.0000 0.5000 0.5000
C2 0.5000 0.0000 0.5000
I1 0.0000 0.0000 0.5000

***

*two*
The following is a PBE calculation of a relaxed TlPtC2I crystal, from Alexandria via LeMat-Bulk.

Theoretical density: 6.25 Mg/m³
Crystal system: tetragonal

Lattice parameters (Å, degrees): 4.1120 4.1120 8.6459 90.00 90.00 90.00
Fractional positions:
Tl1 0.0000 0.0000 0.0000
Pt1 0.5000 0.5000 0.5000
C1 0.0000 0.5000 0.5000
C2 0.5000 0.0000 0.5000
I1 0.5000 0.5000 0.0000

***

Which is most stable, and by how much? *two*, by 112.3 kJ/mol of atoms.

***

*one*
The following is a PBE calculation of a relaxed RbC2I crystal, from Alexandria via LeMat-Bulk.

Theoretical density: 4.46 Mg/m³
Crystal system: tetragonal

Lattice parameters (Å, degrees): 6.7007 6.7007 7.8461 90.00 90.00 90.00
Fractional positions:
Rb1 0.0000 0.0000 0.0000
Rb2 0.0000 0.5000 0.2500
Rb3 0.5000 0.0000 0.7500
Rb4 0.5000 0.5000 0.5000
C1 0.1465 0.7500 0.6250
C2 0.2500 0.1465 0.3750
C3 0.2500 0.3535 0.8750
C4 0.3535 0.7500 0.1250
C5 0.6465 0.2500 0.1250
C6 0.7500 0.6465 0.8750
C7 0.7500 0.8535 0.3750
C8 0.8535 0.2500 0.6250
I1 0.0000 0.0000 0.5000
I2 0.0000 0.5000 0.7500
I3 0.5000 0.0000 0.2500
I4 0.5000 0.5000 0.0000

***

*two*
The following is a PBE calculation of a relaxed RbC2I crystal, from Alexandria via LeMat-Bulk.

Theoretical density: 3.97 Mg/m³
Crystal system: cubic

Lattice parameters (Å, degrees): 7.3399 7.3399 7.3399 90.00 90.00 90.00
Fractional positions:
Rb1 0.0000 0.0000 0.0000
Rb2 0.0000 0.5000 0.5000
Rb3 0.5000 0.0000 0.5000
Rb4 0.5000 0.5000 0.0000
C1 0.2500 0.2500 0.2500
C2 0.2500 0.2500 0.7500
C3 0.2500 0.7500 0.2500
C4 0.2500 0.7500 0.7500
C5 0.7500 0.2500 0.2500
C6 0.7500 0.2500 0.7500
C7 0.7500 0.7500 0.2500
C8 0.7500 0.7500 0.7500
I1 0.0000 0.0000 0.5000
I2 0.0000 0.5000 0.0000
I3 0.5000 0.0000 0.0000
I4 0.5000 0.5000 0.5000

***

Which is most stable, and by how much? *one*, by 56.8 kJ/mol of atoms.

***

*one*
The following is a PBE calculation of a relaxed RbC3I crystal, from Alexandria via LeMat-Bulk.

Theoretical density: 2.27 Mg/m³
Crystal system: cubic

Lattice parameters (Å, degrees): 5.6653 5.6653 5.6653 90.00 90.00 90.00
Fractional positions:
Rb1 0.0000 0.0000 0.0000
C1 0.0000 0.0000 0.5000
C2 0.0000 0.5000 0.0000
C3 0.5000 0.0000 0.0000
I1 0.5000 0.5000 0.5000

***

*two*
The following is a PBE calculation of a relaxed RbC3I crystal, from Alexandria via LeMat-Bulk.

Theoretical density: 4.48 Mg/m³
Crystal system: cubic

Lattice parameters (Å, degrees): 4.5166 4.5166 4.5166 90.00 90.00 90.00
Fractional positions:
Rb1 0.0000 0.0000 0.0000
C1 0.0000 0.5000 0.5000
C2 0.5000 0.0000 0.5000
C3 0.5000 0.5000 0.0000
I1 0.5000 0.5000 0.5000

***

Which is most stable, and by how much? *two*, by 86.9 kJ/mol of atoms.